Record 1
! BeCoMoRu, relaxed, DFT PBE-GGA; values from VASP
&SYSTEM
  ibrav = 0, nat = 4, ntyp = 4
/
ATOMIC_SPECIES
Mo 95.94 Mo.upf
Ru 101.07 Ru.upf
Be 9.01 Be.upf
Co 58.93 Co.upf
CELL_PARAMETERS angstrom
-3.1455 -1.8652 -1.9335
0.1264 -0.5526 -4.0976
0.4920 -3.7993 -1.5604
ATOMIC_POSITIONS crystal
Mo 0.7500 0.7500 0.7500
Ru 0.0000 0.0000 0.0000
Be 0.2500 0.2500 0.2500
Co 0.5000 0.5000 0.5000
! Uncorrected energy = -7.777 eV/atom
! Energy relative to the elements = -0.042 eV per atom
! Magnetization = 0.9 μB per cell

***

Record 2
! HoTl2Sn, relaxed, DFT PBE-GGA; values from VASP
&SYSTEM
  ibrav = 0, nat = 4, ntyp = 3
/
ATOMIC_SPECIES
Tl 204.38 Tl.upf
Sn 118.71 Sn.upf
Ho 164.93 Ho.upf
CELL_PARAMETERS angstrom
4.8637 0.0000 0.0000
0.0000 4.6888 0.0000
0.0000 0.0000 4.6888
ATOMIC_POSITIONS crystal
Tl 0.0000 0.5000 0.0000
Tl 0.0000 0.0000 0.5000
Sn 0.5000 0.5000 0.5000
Ho 0.5000 0.0000 0.0000
! Uncorrected energy = -3.601 eV/atom
! Energy relative to the elements = -0.273 eV per atom
! Magnetization = 0.0 μB per cell
! Excess energy over the best structure of this formula in the dataset = 0 meV per atom

***

Record 3
! GeSeF2, relaxed, DFT PBE-GGA; values from VASP
&SYSTEM
  ibrav = 0, nat = 4, ntyp = 3
/
ATOMIC_SPECIES
F 19.00 F.upf
Ge 72.64 Ge.upf
Se 78.96 Se.upf
CELL_PARAMETERS angstrom
1.6432 0.0000 9.4716
-0.8216 1.4231 9.4716
-0.8216 -1.4231 9.4716
ATOMIC_POSITIONS crystal
F 0.0636 0.0636 0.0636
F 0.9364 0.9364 0.9364
Ge 0.0000 0.0000 0.0000
Se 0.5000 0.5000 0.5000
! ΔE_f (raw) = -904 meV per atom
! Uncorrected energy = -3.865 eV/atom
! Magnetization = 0.0 μB per cell
! Excess energy over the best structure of this formula in the dataset = 0 meV per atom

***

Record 4
! YMn2, relaxed, DFT PBE-GGA; values from VASP
&SYSTEM
  ibrav = 0, nat = 6, ntyp = 2
/
ATOMIC_SPECIES
Y 88.91 Y.upf
Mn 54.94 Mn.upf
CELL_PARAMETERS angstrom
-2.0173 2.0173 6.4448
2.0173 -2.0173 6.4448
2.0173 2.0173 -6.4448
ATOMIC_POSITIONS crystal
Y 0.7500 0.2500 0.5000
Y 0.0000 0.0000 0.0000
Mn 0.5844 0.5844 0.0000
Mn 0.3344 0.8344 0.5000
Mn 0.1656 0.6656 0.5000
Mn 0.4156 0.4156 0.0000
! Uncorrected energy = -8.017 eV/atom
! Energy relative to the elements = 0.251 eV per atom
! Magnetization = 0.0 μB per cell

***

Record 5
! ScRhAu, relaxed, DFT PBE-GGA; values from VASP
&SYSTEM
  ibrav = 0, nat = 3, ntyp = 3
/
ATOMIC_SPECIES
Sc 44.96 Sc.upf
Rh 102.91 Rh.upf
Au 196.97 Au.upf
CELL_PARAMETERS angstrom
5.2318 -0.0084 0.0096
4.1633 3.1688 0.0094
1.0686 0.3600 3.1567
ATOMIC_POSITIONS crystal
Sc 0.3225 0.3225 0.6775
Rh 0.6790 0.6790 0.3210
Au 0.9986 0.9986 0.0014
! Uncorrected energy = -6.327 eV/atom
! Energy relative to the elements = -0.674 eV per atom
! Magnetization = 0.0 μB per cell
! Excess energy over the best structure of this formula in the dataset = 36 meV per atom

***

Record 6
! ZnSbPt2, relaxed, DFT PBE-GGA; values from VASP
&SYSTEM
  ibrav = 0, nat = 4, ntyp = 3
/
ATOMIC_SPECIES
Sb 121.76 Sb.upf
Pt 195.08 Pt.upf
Zn 65.41 Zn.upf
CELL_PARAMETERS angstrom
8.4366 -0.0689 -0.0406
7.8756 3.0260 -0.0406
7.8756 1.4277 2.6683
ATOMIC_POSITIONS crystal
Sb 0.2500 0.2500 0.2500
Pt 0.4956 0.4956 0.4956
Pt 0.0044 0.0044 0.0044
Zn 0.7500 0.7500 0.7500
! ΔE_f (raw) = -162 meV per atom
! Uncorrected energy = -4.531 eV/atom
! Magnetization = 0.0 μB per cell

***

Record 7
! BeCdB, relaxed, DFT PBE-GGA; values from VASP
&SYSTEM
  ibrav = 0, nat = 6, ntyp = 3
/
ATOMIC_SPECIES
Cd 112.41 Cd.upf
B 10.81 B.upf
Be 9.01 Be.upf
CELL_PARAMETERS angstrom
-2.3375 0.7876 1.6583
2.5479 -0.7946 1.3034
1.8813 9.4391 -1.8003
ATOMIC_POSITIONS crystal
Cd 0.2120 0.4185 0.6461
Cd 0.7880 0.5815 0.3539
B 0.3299 0.6597 0.9910
B 0.6701 0.3403 0.0090
Be 0.0463 0.0943 0.1264
Be 0.9537 0.9057 0.8736
! Uncorrected energy = -3.634 eV/atom
! Energy relative to the elements = 0.139 eV per atom
! Magnetization = 0.0 μB per cell
! Excess energy over the best structure of this formula in the dataset = 34 meV per atom

***

Record 8
! ThAlGa2Co4, relaxed, DFT PBE-GGA; values from VASP
&SYSTEM
  ibrav = 0, nat = 8, ntyp = 4
/
ATOMIC_SPECIES
Ga 69.72 Ga.upf
Co 58.93 Co.upf
Th 232.04 Th.upf
Al 26.98 Al.upf
CELL_PARAMETERS angstrom
4.0259 0.0000 0.0000
2.0129 3.4865 0.0000
2.0129 1.1622 8.1976
ATOMIC_POSITIONS crystal
Ga 0.7636 0.7636 0.7093
Ga 0.2364 0.2364 0.2907
Co 0.5971 0.5971 0.2086
Co 0.8681 0.8681 0.3958
Co 0.1319 0.1319 0.6042
Co 0.4029 0.4029 0.7914
Th 0.0000 0.0000 0.0000
Al 0.5000 0.5000 0.5000
! Uncorrected energy = -6.083 eV/atom
! Energy relative to the elements = -0.379 eV per atom
! Magnetization = 0.0 μB per cell